[1]
# K4CoNi PBE relaxed
data_K4CoNi
_chemical_formula_sum 'K16 Co4 Ni4'
_space_group_name_H-M_alt 'F -4 3 m'
_space_group_IT_number 216
_space_group_name_Hall 'F -4 2 3'
_cell_length_a 9.990
_cell_length_b 9.990
_cell_length_c 9.990
_cell_angle_alpha 90.00
_cell_angle_beta 90.00
_cell_angle_gamma 90.00
loop_
_atom_site_label
_atom_site_type_symbol
_atom_site_fract_x
_atom_site_fract_y
_atom_site_fract_z
K1 K 0.125 0.125 0.125
Co1 Co 0.250 0.250 0.750
Ni1 Ni 0.000 0.000 0.500
# DOS(E_F) (states/eV/cell): 55.7
# Calculated formation energy (eV/atom): 1.203

***

[2]
# KCoNi PBE relaxed
data_KCoNi
_chemical_formula_sum 'K2 Co2 Ni2'
_space_group_name_H-M_alt 'I 4 m m'
_space_group_IT_number 107
_space_group_name_Hall 'I 4 -2'
_cell_length_a 3.227
_cell_length_b 3.227
_cell_length_c 11.730
_cell_angle_alpha 90.00
_cell_angle_beta 90.00
_cell_angle_gamma 90.00
loop_
_atom_site_label
_atom_site_type_symbol
_atom_site_fract_x
_atom_site_fract_y
_atom_site_fract_z
K1 K 0.000 0.000 0.000
Co1 Co 0.000 0.000 0.732
Ni1 Ni 0.000 0.000 0.272
# DOS(E_F) (states/eV/cell): 5.3
# Calculated formation energy (eV/atom): 0.656
# Energy above the lowest structure with this stoichiometry (meV/atom): 62.9

***

Look up the DOS(E_F) of the first one. 55.7 states/eV/cell

***

Which value of DOS(E_F) does entry 1 give? 55.7 states/eV/cell